! Th6GeBi2Te3 | the Alexandria database | PBE-GGA | relaxed; values from VASP
! formation energy from raw total energies: -856 meV/atom
! electronic total energy: -6.3830 eV/atom
! SG: C2/m, No. 12
! size of the total moment: 0.0 μB per formula unit
&SYSTEM
  ibrav = 0, nat = 12, ntyp = 4
/
ATOMIC_SPECIES
Th 232.04 Th.upf
Ge 72.64 Ge.upf
Bi 208.98 Bi.upf
Te 127.60 Te.upf
ATOMIC_POSITIONS angstrom
Th 0.000 6.694 7.002
Th 2.233 4.580 3.375
Th 2.233 -0.066 2.939
Th 2.233 -0.326 9.434
Th 0.000 6.954 0.507
Th 0.000 2.049 6.566
Ge 2.233 0.000 0.000
Bi 2.233 4.378 6.643
Bi 0.000 2.250 3.298
Te 2.233 4.500 0.262
Te 2.233 -0.117 6.211
Te 0.000 6.746 3.730
CELL_PARAMETERS angstrom
4.466 0.000 0.000
0.000 9.000 0.524
-2.233 -2.371 9.417

! Ti2GeBiTe | the Alexandria database | PBE-GGA | relaxed; values from VASP
! formation energy from raw total energies: 514 meV/atom
! electronic total energy: -4.9716 eV/atom
! SG: P4/mmm, No. 123
! size of the total moment: 0.0 μB per formula unit
&SYSTEM
  ibrav = 0, nat = 5, ntyp = 4
/
ATOMIC_SPECIES
Ge 72.64 Ge.upf
Te 127.60 Te.upf
Bi 208.98 Bi.upf
Ti 47.87 Ti.upf
ATOMIC_POSITIONS angstrom
Ge 0.000 0.000 0.000
Te -2.916 -2.002 -2.637
Bi -0.959 -2.524 0.197
Ti 0.324 -0.313 -2.422
Ti -2.281 0.834 -0.413
CELL_PARAMETERS angstrom
-4.562 1.669 -0.826
0.648 -0.625 -4.844
-1.918 -5.047 0.395

! Tl3GeBi2Te6 | the Alexandria database | PBE-GGA | relaxed; values from VASP
! formation energy from raw total energies: -235 meV/atom
! electronic total energy: -3.4286 eV/atom
! SG: C2/m, No. 12
! size of the total moment: 0.0 μB per formula unit
&SYSTEM
  ibrav = 0, nat = 12, ntyp = 4
/
ATOMIC_SPECIES
Tl 204.38 Tl.upf
Ge 72.64 Ge.upf
Bi 208.98 Bi.upf
Te 127.60 Te.upf
ATOMIC_POSITIONS angstrom
Tl -0.972 -4.319 -2.676
Tl -6.215 1.896 -1.989
Tl -4.636 -5.886 -0.507
Ge -0.034 0.220 -2.246
Bi -7.358 -2.597 -2.412
Bi -3.493 -1.392 -0.084
Te -7.912 -4.922 -0.364
Te -4.178 -3.293 -2.527
Te -2.938 0.933 -2.132
Te -0.444 -1.991 -0.188
Te -10.406 -1.998 -2.308
Te -6.672 -0.696 0.031
CELL_PARAMETERS angstrom
-0.067 0.439 -4.491
-1.876 -9.078 -0.860
-8.907 4.650 2.855

! Tm4GeBiTe2 | the Alexandria database | PBE-GGA | relaxed; values from VASP
! formation energy from raw total energies: -1082 meV/atom
! electronic total energy: -5.1656 eV/atom
! SG: P2/m, No. 10
! size of the total moment: 0.0 μB per formula unit
&SYSTEM
  ibrav = 0, nat = 8, ntyp = 4
/
ATOMIC_SPECIES
Tm 168.93 Tm.upf
Ge 72.64 Ge.upf
Bi 208.98 Bi.upf
Te 127.60 Te.upf
ATOMIC_POSITIONS angstrom
Tm 2.141 1.368 1.664
Tm 2.141 3.517 5.468
Tm 0.000 0.037 5.463
Tm 0.000 4.848 1.670
Ge 2.141 3.741 0.073
Bi 0.000 0.000 0.000
Te 2.141 -1.299 3.493
Te 0.000 2.442 3.566
CELL_PARAMETERS angstrom
4.282 0.000 0.000
0.000 7.483 0.146
0.000 -2.598 6.986

! Tm6Ge2BiTe3 | the Alexandria database | PBE-GGA | relaxed; values from VASP
! formation energy from raw total energies: -1109 meV/atom
! electronic total energy: -5.2233 eV/atom
! SG: C2/m, No. 12
! size of the total moment: 0.0 μB per formula unit
&SYSTEM
  ibrav = 0, nat = 12, ntyp = 4
/
ATOMIC_SPECIES
Tm 168.93 Tm.upf
Ge 72.64 Ge.upf
Bi 208.98 Bi.upf
Te 127.60 Te.upf
ATOMIC_POSITIONS angstrom
Tm -6.269 -3.628 4.666
Tm -4.703 -0.201 3.067
Tm -0.976 0.737 3.548
Tm -2.077 -0.586 -0.097
Tm -5.168 -2.305 8.310
Tm -2.542 -2.690 5.146
Ge -4.999 -1.273 5.691
Ge -2.246 -1.619 2.523
Bi -0.575 1.917 0.718
Te -4.713 0.912 0.090
Te -0.861 -0.305 6.420
Te -6.384 -2.586 1.794
CELL_PARAMETERS angstrom
-1.149 3.834 1.436
-8.276 -2.010 -1.257
2.181 -4.714 8.034

! Y4GeBiTe2 | the Alexandria database | PBE-GGA | relaxed; values from VASP
! formation energy from raw total energies: -1183 meV/atom
! electronic total energy: -6.2626 eV/atom
! SG: P2/m, No. 10
! size of the total moment: 0.0 μB per formula unit
&SYSTEM
  ibrav = 0, nat = 8, ntyp = 4
/
ATOMIC_SPECIES
Y 88.91 Y.upf
Ge 72.64 Ge.upf
Bi 208.98 Bi.upf
Te 127.60 Te.upf
ATOMIC_POSITIONS angstrom
Y 0.000 7.501 5.118
Y 4.340 2.705 1.821
Y 2.170 6.207 1.819
Y 2.170 3.999 5.119
Ge 0.000 5.103 3.469
Bi 2.170 3.778 -0.080
Te 0.000 2.650 7.099
Te 2.170 1.325 3.549
CELL_PARAMETERS angstrom
4.340 0.000 0.000
0.000 7.556 -0.161
0.000 2.650 7.099

! Y6GeBi2Te3 | the Alexandria database | PBE-GGA | relaxed; values from VASP
! formation energy from raw total energies: -1168 meV/atom
! electronic total energy: -6.2172 eV/atom
! SG: C2/m, No. 12
! size of the total moment: 0.0 μB per formula unit
&SYSTEM
  ibrav = 0, nat = 12, ntyp = 4
/
ATOMIC_SPECIES
Y 88.91 Y.upf
Ge 72.64 Ge.upf
Bi 208.98 Bi.upf
Te 127.60 Te.upf
ATOMIC_POSITIONS angstrom
Y 2.622 -4.473 7.665
Y -0.265 -1.561 5.579
Y 1.227 1.633 2.961
Y 6.436 2.158 6.744
Y -2.587 -4.998 3.882
Y 4.114 -1.279 5.047
Ge -1.036 1.484 1.221
Bi 2.215 -1.398 7.486
Bi 1.633 -1.443 3.141
Te -2.707 -1.731 3.712
Te 3.834 1.816 4.951
Te 0.014 -4.656 5.675
CELL_PARAMETERS angstrom
-2.072 2.969 2.441
-3.342 -6.430 4.983
9.263 0.621 3.202

! Y4GeBi2Te | the Alexandria database | PBE-GGA | relaxed; values from VASP
! formation energy from raw total energies: -1023 meV/atom
! electronic total energy: -6.1956 eV/atom
! SG: P2/m, No. 10
! size of the total moment: 0.0 μB per formula unit
&SYSTEM
  ibrav = 0, nat = 8, ntyp = 4
/
ATOMIC_SPECIES
Y 88.91 Y.upf
Ge 72.64 Ge.upf
Bi 208.98 Bi.upf
Te 127.60 Te.upf
ATOMIC_POSITIONS angstrom
Y 2.177 1.373 1.757
Y 2.177 3.589 5.533
Y 0.000 0.019 5.524
Y 0.000 4.943 1.766
Ge 2.177 3.798 0.077
Bi 2.177 -1.317 3.568
Bi 0.000 2.481 3.645
Te 0.000 0.000 0.000
CELL_PARAMETERS angstrom
4.353 0.000 0.000
0.000 7.596 0.154
0.000 -2.633 7.136